[1]
## CeCr2GeC (PBE)

Data for a relaxed CeCr2GeC crystal.

Structure (POSCAR):
```
CeCr2GeC
1.0
2.674 -5.564 0.000
2.674 5.564 0.000
0.000 0.000 5.368
Ce Cr Ge C
2 4 2 2
Cartesian
2.674 2.799 4.026
2.674 -2.799 1.342
1.466 0.000 0.000
1.466 0.000 2.684
3.882 0.000 0.000
3.882 0.000 2.684
2.674 4.111 1.342
2.674 -4.111 4.026
2.674 0.728 1.342
2.674 -0.728 4.026
```


[2]
## Ce2HfCr2C4 (PBE)

Data for a relaxed Ce2HfCr2C4 crystal.

Structure (POSCAR):
```
Ce2HfCr2C4
1.0
6.357 -1.651 0.000
6.357 1.651 0.000
-1.780 0.000 5.731
Ce Hf Cr C
2 1 2 4
Cartesian
1.566 0.000 0.208
9.368 0.000 5.523
-0.890 0.000 2.866
3.183 0.000 2.848
7.751 0.000 2.883
1.508 0.000 3.992
4.540 0.000 4.205
6.394 0.000 1.526
9.426 0.000 1.739
```


[3]
## CeHo2Cr2C4 (PBE)

Data for a relaxed CeHo2Cr2C4 crystal.

Structure (POSCAR):
```
CeHo2Cr2C4
1.0
6.556 -1.700 0.000
6.556 1.700 0.000
-2.239 0.000 5.571
Ce Ho Cr C
1 2 2 4
Cartesian
0.000 0.000 0.000
0.554 0.000 3.014
10.318 0.000 2.557
4.164 0.000 0.099
6.708 0.000 5.472
2.450 0.000 1.065
5.480 0.000 1.494
5.392 0.000 4.076
8.422 0.000 4.506
```


[4]
## CeMnCrC2 (PBE)

Data for a relaxed CeMnCrC2 crystal.

Structure (POSCAR):
```
CeMnCrC2
1.0
-1.690 1.690 5.316
1.690 -1.690 5.316
1.690 1.690 -5.316
Ce Mn Cr C
1 1 1 2
Cartesian
0.000 0.000 0.000
1.690 0.000 2.658
0.000 1.690 2.658
0.000 0.000 3.744
0.000 0.000 6.888
```


[5]
## Ce2Cr2MoC4 (PBE)

Data for a relaxed Ce2Cr2MoC4 crystal.

Structure (POSCAR):
```
Ce2Cr2MoC4
1.0
6.209 -1.618 0.000
6.209 1.618 0.000
-1.622 0.000 5.676
Ce Cr Mo C
2 2 1 4
Cartesian
1.506 0.000 0.180
9.292 0.000 5.496
3.227 0.000 2.794
7.571 0.000 2.882
-0.811 0.000 2.838
1.577 0.000 3.979
4.605 0.000 4.154
6.192 0.000 1.522
9.220 0.000 1.697
```


[6]
## CeCrMo2C4 (PBE)

Data for a relaxed CeCrMo2C4 crystal.

Structure (POSCAR):
```
CeCrMo2C4
1.0
1.615 -5.511 0.000
1.615 5.511 0.000
0.000 0.000 10.634
Ce Cr Mo C
2 2 4 8
Cartesian
1.615 4.403 7.976
1.615 -4.403 2.659
1.615 3.704 2.659
1.615 -3.704 7.976
1.615 1.367 5.741
1.615 1.367 10.210
1.615 -1.367 0.424
1.615 -1.367 4.893
0.000 0.000 0.000
0.000 0.000 5.317
1.615 2.584 1.198
1.615 2.584 4.119
1.615 0.788 7.976
1.615 -0.788 2.659
1.615 -2.584 6.515
1.615 -2.584 9.436
```


[7]
Ce2Cr2C2N (PBE, optimized geometry); uncorrected formation energy = -0.527 eV/atom
1.0
5.197 -1.621 0.000
5.197 1.621 0.000
-3.375 0.000 5.465
Ce Cr C N
2 2 2 1
Cartesian
-0.451 0.000 1.847
7.470 0.000 3.618
0.027 0.000 4.994
6.992 0.000 0.471
2.448 0.000 1.411
4.572 0.000 4.054
5.197 0.000 0.000


[8]
## Ce2NbCr2C4 (PBE)

Data for a relaxed Ce2NbCr2C4 crystal.

Structure (POSCAR):
```
Ce2NbCr2C4
1.0
6.230 -1.634 0.000
6.230 1.634 0.000
-1.690 0.000 5.743
Ce Nb Cr C
2 1 2 4
Cartesian
1.518 0.000 0.202
9.250 0.000 5.541
-0.845 0.000 2.872
3.180 0.000 2.845
7.589 0.000 2.899
1.512 0.000 4.015
4.538 0.000 4.222
6.231 0.000 1.521
9.257 0.000 1.728
```


no.,raw total energy (eV/atom)
1,-7.910
2,-8.907
3,-7.992
4,-8.804
5,-8.871
6,-9.331
7,-8.796
8,-8.867